First-principles (GGA-PBE) data for crystalline PmMgSb at its relaxed geometry, as listed in OQMD via LeMat-Bulk.

Unit cell a=5.036 b=5.036 c=5.036 alpha=60.00 beta=60.00 gamma=60.00
Fractional positions:
Pm (0.000, 0.000, 0.000)
Mg (0.500, 0.500, 0.500)
Sb (0.750, 0.750, 0.750)

For the uncorrected energy, the calculation gives -3.8150 eV/atom.